1.
Below is a relaxed RbMoP2S crystal, with properties calculated at the PBE level.

a = 4.765 Å, b = 4.765 Å, c = 4.972 Å
α = 90.00°, β = 90.00°, γ = 90.00°
Sites, in units of the cell vectors:
Rb: 0.500 0.500 0.500
P: 0.000 0.500 0.000
P: 0.500 0.000 0.000
S: 0.000 0.000 0.500
Mo: 0.000 0.000 0.000

Energy ... -5.438 eV/atom
ΔE_f (raw) ... -0.09 eV/atom
Polymorph energy (0 for the lowest one) ... 0 meV per atom

2.
Below is a relaxed Cd4InHg2Pb2 crystal, with properties calculated at the PBE level.

a = 5.929 Å, b = 7.518 Å, c = 7.518 Å
α = 47.26°, β = 80.08°, γ = 80.08°
Sites, in units of the cell vectors:
Pb: 0.216 0.576 0.576
Pb: 0.784 0.424 0.424
Cd: 0.689 0.411 0.903
Cd: 0.311 0.589 0.097
Cd: 0.689 0.903 0.411
Cd: 0.311 0.097 0.589
In: 0.500 0.000 0.000
Hg: 0.113 0.181 0.181
Hg: 0.887 0.819 0.819

Energy ... -1.561 eV/atom
Formation enthalpy at 0 K ... 0.4 eV per formula unit